[1]
Below is crystalline Al2AgSb at its relaxed geometry, with properties calculated at the PBE level.

Calculated values
space-group type: R-3m
crystal system: trigonal
E_form (uncorrected): 0.16 eV per atom
M_tot: 0.00 Bohr magnetons per cell

Cell lengths 9.198, 9.198, 9.198 Å; angles 20.18, 20.18, 20.18 degrees
Positions (direct):
Sb 0.250 0.250 0.250
Al 0.009 0.009 0.009
Al 0.491 0.491 0.491
Ag 0.750 0.750 0.750

[2]
Below is crystalline Mn2NiMo at its relaxed geometry, with properties calculated at the PBE level.

Calculated values
E_form: 0.07 eV per atom
space-group type: Pmm2
crystal system: orthorhombic
M_tot: 0.55 Bohr magnetons per cell

Cell lengths 2.620, 3.623, 5.260 Å; angles 90.00, 90.00, 90.00 degrees
Each line ends with the local moment (μB).
Positions (direct):
Mn 0.000 0.000 0.008  2.04
Mn 0.500 0.500 0.228  -1.77
Mo 0.000 0.000 0.503  0.05
Ni 0.500 0.500 0.760  0.24

[3]
Below is crystalline HgAuSe2 at its relaxed geometry, with properties calculated at the PBE level.

Calculated values
space-group type: Imm2
crystal system: orthorhombic
E_form (uncorrected): 0.20 eV per atom
M_tot: 0.00 Bohr magnetons per cell

Cell lengths 5.675, 5.675, 5.675 Å; angles 142.32, 99.50, 92.49 degrees
Positions (direct):
Au 0.512 0.512 0.000
Hg 0.251 0.751 0.500
Se 0.000 0.000 0.000
Se 0.737 0.237 0.500

[4]
Below is crystalline BaYSb at its relaxed geometry, with properties calculated at the PBE level.

Calculated values
space-group type: F-43m
crystal system: cubic
E_form (uncorrected): -0.49 eV per atom
energy above the most stable polymorph in this dataset: 114.9 meV per atom
M_tot: 0.00 Bohr magnetons per cell

Cell lengths 5.449, 5.449, 5.449 Å; angles 60.00, 60.00, 60.00 degrees
Positions (direct):
Ba 0.500 0.500 0.500
Sb 0.750 0.750 0.750
Y 0.000 0.000 0.000

[5]
Below is crystalline Pm3MgPt3 at its relaxed geometry, with properties calculated at the PBE level.

Calculated values
E_form: -0.87 eV per atom
space-group type: C2/m
crystal system: monoclinic
M_tot: 0.00 Bohr magnetons per cell

Cell lengths 7.026, 7.026, 7.041 Å; angles 88.67, 88.67, 92.74 degrees
Positions (direct):
Pm 0.686 0.686 0.438
Pm 0.183 0.817 0.500
Pm 0.817 0.183 0.500
Pm 0.260 0.740 0.000
Pm 0.740 0.260 0.000
Pm 0.314 0.314 0.562
Mg 0.776 0.776 0.898
Mg 0.224 0.224 0.102
Pt 0.938 0.938 0.196
Pt 0.970 0.509 0.722
Pt 0.509 0.970 0.722
Pt 0.030 0.491 0.278
Pt 0.491 0.030 0.278
Pt 0.062 0.062 0.804

[6]
Below is crystalline RbMg14Mn at its relaxed geometry, with properties calculated at the PBE level.

Calculated values
E_form: 0.19 eV per atom
space-group type: P-6m2
crystal system: hexagonal
energy above the most stable polymorph in this dataset: 0.0 meV per atom
M_tot: 3.68 Bohr magnetons per cell

Cell lengths 6.529, 6.529, 10.553 Å; angles 90.00, 90.00, 120.00 degrees
Each line ends with the local moment (μB).
Positions (direct):
Rb 0.000 0.000 0.500  0.01
Mg 0.991 0.496 0.000  -0.01
Mg 0.012 0.506 0.500  0.00
Mg 0.504 0.009 0.000  -0.01
Mg 0.494 0.988 0.500  0.00
Mg 0.504 0.496 0.000  -0.01
Mg 0.494 0.506 0.500  0.00
Mg 0.167 0.833 0.227  -0.01
Mg 0.167 0.833 0.773  -0.01
Mg 0.167 0.334 0.227  -0.01
Mg 0.167 0.334 0.773  -0.01
Mg 0.666 0.833 0.227  -0.01
Mg 0.666 0.833 0.773  -0.01
Mg 0.667 0.333 0.258  0.00
Mg 0.667 0.333 0.742  0.00
Mn 0.000 0.000 0.000  3.78

Number 1: V 20.3 Å³/atom, uncorrected energy -3.457 eV/atom. Number 2: V 12.5 Å³/atom, uncorrected energy -8.672 eV/atom. Number 3: V 26.4 Å³/atom, uncorrected energy -2.438 eV/atom. Number 4: V 38.1 Å³/atom, uncorrected energy -4.656 eV/atom. Number 5: V 24.8 Å³/atom, uncorrected energy -5.722 eV/atom. Number 6: V 24.4 Å³/atom, uncorrected energy -1.841 eV/atom.